Computed, not measured: a relaxed structure of AcTiMoO6 at the GGA+U level of DFT.

The calculation puts the calculated density at 6.2 g/cm3. The value obtained for the calculated total energy is -143.11 eV/cell.

The space group is P4_2nm (No. 102) and the conventional cell measures 5.012, 5.012 and 9.924 Å, with angles of 90.00, 90.00 and 90.00 degrees. The distinct sites, in fractional coordinates, are Ac at (0.000, 0.000, 0.000), Ti at (0.000, 0.000, 0.344), Mo at (0.000, 0.000, 0.666), O at (0.167, 0.167, 0.501), O at (0.235, 0.235, 0.808) and O at (0.236, 0.236, 0.198).